1.
# GGA-PBE ZnCdRu2, relaxed
data_ZnCdRu2
_symmetry_space_group_name_H-M 'P 1'
_symmetry_Int_Tables_number 1
_symmetry_space_group_name_Hall 'P 1'
_cell_length_a 4.755
_cell_length_b 4.755
_cell_length_c 4.943
_cell_angle_alpha 100.48
_cell_angle_beta 100.48
_cell_angle_gamma 34.49
loop_
_atom_site_label
_atom_site_fract_x
_atom_site_fract_y
_atom_site_fract_z
_atom_site_occupancy
Zn1 0.000 0.000 0.000 1
Cd1 0.500 0.500 0.500 1
Ru1 0.257 0.257 0.779 1
Ru2 0.743 0.743 0.221 1
# Symmetry ... C2/m (12)
# Energy of formation from the pure elements ... 0.266 eV per atom
# DOS at the Fermi energy ... 1.142 states/eV/atom



2.
# GGA-PBE La2HIrPt, relaxed
data_La2HIrPt
_symmetry_space_group_name_H-M 'P 1'
_symmetry_Int_Tables_number 1
_symmetry_space_group_name_Hall 'P 1'
_cell_length_a 5.145
_cell_length_b 5.145
_cell_length_c 3.734
_cell_angle_alpha 90.00
_cell_angle_beta 90.00
_cell_angle_gamma 90.00
loop_
_atom_site_label
_atom_site_fract_x
_atom_site_fract_y
_atom_site_fract_z
_atom_site_occupancy
La1 0.000 0.500 0.000 1
La2 0.500 0.000 0.000 1
H1 0.000 0.000 0.000 1
Ir1 0.500 0.500 0.500 1
Pt1 0.000 0.000 0.500 1
# Symmetry ... P4/mmm (123)
# DOS at the Fermi energy ... 0.431 states/eV/atom



3.
# GGA-PBE KLiLa2, relaxed
data_KLiLa2
_symmetry_space_group_name_H-M 'P 1'
_symmetry_Int_Tables_number 1
_symmetry_space_group_name_Hall 'P 1'
_cell_length_a 7.593
_cell_length_b 7.593
_cell_length_c 7.593
_cell_angle_alpha 152.00
_cell_angle_beta 132.74
_cell_angle_gamma 55.83
loop_
_atom_site_label
_atom_site_fract_x
_atom_site_fract_y
_atom_site_fract_z
_atom_site_occupancy
K1 0.000 0.000 0.000 1
Li1 0.500 0.500 0.000 1
La1 0.269 0.769 0.500 1
La2 0.731 0.231 0.500 1
# Symmetry ... Immm (71)
# Energy of formation from the pure elements ... 0.281 eV per atom
# DOS at the Fermi energy ... 1.223 states/eV/atom



Short version: total DFT energy (no corrections) = -4.9194, -6.3350, -2.9359 eV per atom, in the order given.